# VAg3S4

VAg3S4 after structural relaxation (PBE-GGA, the Alexandria database).

Cell lengths 7.7981, 6.8824, 6.7215 Å; angles 90.00, 90.00, 90.00 degrees
Last column: nearest neighbours and their distance in Å.
Element x y z (fractional)
1 V 0.0000 0.1773 0.0000  4 S 2.17-2.20
2 V 0.5000 0.8227 0.5000  4 S 2.17-2.20
3 Ag 0.0000 0.8497 0.4867  4 S 2.53-2.59
4 Ag 0.2482 0.6759 0.9811  4 S 2.52-2.58
5 Ag 0.2518 0.3241 0.4811  4 S 2.52-2.58
6 Ag 0.5000 0.1503 0.9867  4 S 2.53-2.59
7 Ag 0.7482 0.3241 0.4811  4 S 2.52-2.58
8 Ag 0.7518 0.6759 0.9811  4 S 2.52-2.58
9 S 0.0000 0.1761 0.6775  1 V 2.17
10 S 0.0000 0.8799 0.1118  1 V 2.18
11 S 0.2309 0.3270 0.1072  1 V 2.20
12 S 0.2691 0.6730 0.6072  1 V 2.20
13 S 0.5000 0.1201 0.6118  1 V 2.18
14 S 0.5000 0.8239 0.1775  1 V 2.17
15 S 0.7309 0.6730 0.6072  1 V 2.20
16 S 0.7691 0.3270 0.1072  1 V 2.20

Summary:
- Formation energy without anion corrections: -0.379 eV/atom
- ρ: 4.6 g/cm3
- M_tot: 0.000 μB/atom



# VAg2S4

VAg2S4 after structural relaxation (PBE-GGA, the Alexandria database).

Cell lengths 6.9932, 6.9932, 6.9932 Å; angles 139.51, 139.51, 58.60 degrees
Last column: nearest neighbours and their distance in Å.
Element x y z (fractional)
1 V 0.0000 0.0000 0.0000  6 S 2.23-2.42
2 Ag 0.3818 0.3818 0.0000  1 S 2.42
3 Ag 0.6182 0.6182 0.0000  1 S 2.42
4 S 0.0000 0.5000 0.5000  2 V 2.42
5 S 0.1830 0.1830 0.0000  1 V 2.23, 1 Ag 2.42
6 S 0.5000 0.0000 0.5000  2 V 2.42
7 S 0.8170 0.8170 0.0000  1 V 2.23, 1 Ag 2.42

Summary:
- Formation energy without anion corrections: 0.050 eV/atom
- D(E_F): 6.3 states/eV per cell
- ρ: 4.6 g/cm3
- M_tot: 0.112 μB/atom



# VAg3S

VAg3S after structural relaxation (PBE-GGA, the Alexandria database).

Cell lengths 4.9827, 4.9827, 4.9827 Å; angles 90.00, 90.00, 90.00 degrees
Last column: nearest neighbours and their distance in Å.
Element x y z (fractional)
1 V 0.0000 0.0000 0.0000  6 Ag 2.49
2 Ag 0.0000 0.0000 0.5000  2 V 2.49
3 Ag 0.0000 0.5000 0.0000  2 V 2.49
4 Ag 0.5000 0.0000 0.0000  2 V 2.49
5 S 0.5000 0.5000 0.5000  12 Ag 3.52

Summary:
- Formation energy without anion corrections: 1.360 eV/atom
- D(E_F): 5.5 states/eV per cell
- ρ: 5.5 g/cm3
- E above lowest polymorph: 2.724 eV/f.u.
- M_tot: 0.763 μB/atom



# VAgWS2

VAgWS2 after structural relaxation (PBE-GGA, the Alexandria database).

Cell lengths 4.4247, 4.4247, 5.0379 Å; angles 90.00, 90.00, 90.00 degrees
Last column: nearest neighbours and their distance in Å.
Element x y z (fractional)
1 V 0.0000 0.0000 0.0000  4 S 2.21
2 Ag 0.0000 0.0000 0.5000  2 V 2.52
3 W 0.5000 0.5000 0.5000  4 Ag 3.13, 8 S 3.35
4 S 0.0000 0.5000 0.0000  2 V 2.21
5 S 0.5000 0.0000 0.0000  2 V 2.21

Summary:
- Formation energy without anion corrections: 1.062 eV/atom
- D(E_F): 5.3 states/eV per cell
- ρ: 6.8 g/cm3
- M_tot: 0.840 μB/atom



# AgW3S

AgW3S after structural relaxation (PBE-GGA, the Alexandria database).

Cell lengths 4.4326, 4.4326, 4.4326 Å; angles 90.00, 90.00, 90.00 degrees
Last column: nearest neighbours and their distance in Å.
Element x y z (fractional)
1 Ag 0.0000 0.0000 0.0000  12 W 3.13
2 W 0.0000 0.5000 0.5000  2 S 2.22
3 W 0.5000 0.0000 0.5000  2 S 2.22
4 W 0.5000 0.5000 0.0000  2 S 2.22
5 S 0.5000 0.5000 0.5000  6 W 2.22

Summary:
- Formation energy without anion corrections: 1.007 eV/atom
- D(E_F): 6.2 states/eV per cell
- ρ: 13.2 g/cm3
- E above lowest polymorph: 0.000 eV/f.u.
- M_tot: 0.000 μB/atom



# AgWS2

AgWS2 after structural relaxation (PBE-GGA, the Alexandria database).

Cell lengths 6.7194, 6.7194, 6.7194 Å; angles 129.50, 129.50, 74.20 degrees
Last column: nearest neighbours and their distance in Å.
Element x y z (fractional)
1 Ag 0.0000 0.0000 0.0000  4 S 2.58
2 Ag 0.7500 0.2500 0.5000  4 S 2.58
3 W 0.2500 0.7500 0.5000  4 S 2.30
4 W 0.5000 0.5000 0.0000  4 S 2.30
5 S 0.1665 0.6250 0.0415  2 W 2.30
6 S 0.3750 0.4165 0.5415  2 W 2.30
7 S 0.5835 0.1250 0.9585  2 W 2.30
8 S 0.8750 0.8335 0.4585  2 W 2.30

Summary:
- Formation energy without anion corrections: 0.102 eV/atom
- D(E_F): 6.9 states/eV per cell
- ρ: 6.7 g/cm3
- E above lowest polymorph: 1.517 eV/f.u.
- M_tot: 0.000 μB/atom



# AgWS2

AgWS2 after structural relaxation (PBE-GGA, the Alexandria database).

Cell lengths 4.4213, 4.4213, 4.4213 Å; angles 60.00, 60.00, 60.00 degrees
Last column: nearest neighbours and their distance in Å.
Element x y z (fractional)
1 Ag 0.0000 0.0000 0.0000  8 S 2.71
2 W 0.5000 0.5000 0.5000  8 S 2.71
3 S 0.2500 0.2500 0.2500  4 W 2.71, 4 Ag 2.71
4 S 0.7500 0.7500 0.7500  4 W 2.71, 4 Ag 2.71

Summary:
- Formation energy without anion corrections: 0.409 eV/atom
- D(E_F): 3.1 states/eV per cell
- ρ: 9.7 g/cm3
- E above lowest polymorph: 2.747 eV/f.u.
- M_tot: 0.000 μB/atom



# AgW3S

AgW3S after structural relaxation (PBE-GGA, the Alexandria database).

Cell lengths 4.8158, 4.8158, 4.8158 Å; angles 90.00, 90.00, 90.00 degrees
Last column: nearest neighbours and their distance in Å.
Element x y z (fractional)
1 Ag 0.0000 0.0000 0.0000  6 W 2.41
2 W 0.0000 0.0000 0.5000  2 Ag 2.41
3 W 0.0000 0.5000 0.0000  2 Ag 2.41
4 W 0.5000 0.0000 0.0000  2 Ag 2.41
5 S 0.5000 0.5000 0.5000  12 W 3.41

Summary:
- Formation energy without anion corrections: 3.151 eV/atom
- D(E_F): 9.2 states/eV per cell
- ρ: 10.3 g/cm3
- E above lowest polymorph: 10.718 eV/f.u.
- M_tot: 0.000 μB/atom